Computed, not measured: TlMoOs2 after structural relaxation at the PBE level of DFT.

```
TlMoOs2
1.0
7.4233 0.0000 0.0000
0.0000 7.4233 0.0000
0.0000 0.0000 5.4933
Tl Mo Os
4 4 8
direct
0.0000 0.0000 0.0000
0.0000 0.5000 0.2500
0.5000 0.0000 0.7500
0.5000 0.5000 0.5000
0.0000 0.0000 0.5000
0.0000 0.5000 0.7500
0.5000 0.0000 0.2500
0.5000 0.5000 0.0000
0.1984 0.2500 0.6250
0.2500 0.6984 0.8750
0.2500 0.8016 0.3750
0.3016 0.2500 0.1250
0.6984 0.7500 0.1250
0.7500 0.1984 0.3750
0.7500 0.3016 0.8750
0.8016 0.7500 0.6250
```

The density of states at the Fermi level is 12.05 states/eV per cell. The symmetry is I-42d. The energy relative to the elements comes out at 1.11 eV per atom.